Material: Y2ScSi
Method: DFT, PBE-GGA
State: relaxed

a = 3.4662 Å, b = 3.4662 Å, c = 8.4593 Å
α = 90.00°, β = 90.00°, γ = 90.00°
Element x y z (fractional)
Sc 0.5000 0.5000 0.2500
Si 0.5000 0.5000 0.7500
Y 0.0000 0.0000 0.9600
Y 0.0000 0.0000 0.5400

Calculated values
Calculated total energy: -6.402 eV/atom
Total magnetization: 0.00 Bohr magnetons per cell
Space group: P4/mmm, No. 123
E_form (uncorrected): -0.232 eV per atom